## K2NdYO4 (GGA-PBE)

Data for a geometry-optimized K2NdYO4 structure.

Calculated values
Its space-group type is P2/m. The calculation puts the energy at -6.8272 eV per atom. For the volume, the calculation gives 139 Å³/cell.

a b c (Å): 6.180 3.570 6.616
angles (deg): 90.00 108.07 90.00
Atoms (fractional coordinates):
K 0.000 0.000 0.000
K 0.500 0.500 0.000
Nd 0.000 0.500 0.500
Y 0.500 0.000 0.500
O 0.238 0.000 0.690
O 0.278 0.500 0.312
O 0.722 0.500 0.688
O 0.762 0.000 0.310